First-principles (GGA-PBE) data for a geometry-optimized BaSr2Ni structure, as listed in the Alexandria database.

Calculated values
* crystal system: orthorhombic

a b c (Å): 3.896 3.896 10.496
angles (deg): 90.00 90.00 89.44
Sites, in units of the cell vectors:
Ba 0.000 0.000 0.582
Ni 0.500 0.500 0.757
Sr 0.500 0.500 0.240
Sr 0.000 0.000 0.920

***

First-principles (GGA-PBE) data for a geometry-optimized BaSrNi2 structure, as listed in the Alexandria database.

Calculated values
* crystal system: orthorhombic

a b c (Å): 6.330 6.330 4.274
angles (deg): 89.99 89.99 41.58
Sites, in units of the cell vectors:
Ni 0.841 0.841 0.625
Ni 0.919 0.919 0.125
Ba 0.233 0.233 0.125
Sr 0.507 0.507 0.625

***

First-principles (GGA-PBE) data for a geometry-optimized BaSr2Ni structure, as listed in the Alexandria database.

Calculated values
* crystal system: tetragonal

a b c (Å): 7.037 7.037 7.037
angles (deg): 137.96 137.96 60.96
Sites, in units of the cell vectors:
Ni 0.750 0.250 0.500
Sr 0.500 0.500 0.000
Ba 0.250 0.750 0.500
Sr 0.000 0.000 0.000

***

First-principles (GGA-PBE) data for a geometry-optimized BaSrNi2 structure, as listed in the Alexandria database.

Calculated values
* crystal system: cubic

a b c (Å): 5.265 5.265 5.265
angles (deg): 60.00 60.00 60.00
Sites, in units of the cell vectors:
Ni 0.750 0.750 0.750
Sr 0.000 0.000 0.000
Ba 0.500 0.500 0.500
Ni 0.250 0.250 0.250

***

First-principles (GGA-PBE) data for a geometry-optimized Ba2SrNi structure, as listed in the Alexandria database.

Calculated values
* crystal system: tetragonal

a b c (Å): 7.110 7.110 7.110
angles (deg): 137.98 137.98 60.93
Sites, in units of the cell vectors:
Ba 0.250 0.750 0.500
Ba 0.000 0.000 0.000
Ni 0.500 0.500 0.000
Sr 0.750 0.250 0.500

***

First-principles (GGA-PBE) data for a geometry-optimized BaSrNi structure, as listed in the Alexandria database.

Calculated values
* crystal system: monoclinic

a b c (Å): 4.259 7.949 7.485
angles (deg): 81.57 89.99 89.99
Sites, in units of the cell vectors:
Sr 0.828 0.784 0.092
Ba 0.828 0.287 0.285
Ba 0.328 0.712 0.621
Ni 0.327 0.515 0.011
Sr 0.328 0.215 0.813
Ni 0.827 0.484 0.896

***

First-principles (GGA-PBE) data for a geometry-optimized BaSr2Ni structure, as listed in the Alexandria database.

Calculated values
* crystal system: monoclinic

a b c (Å): 6.192 7.185 4.130
angles (deg): 75.16 85.84 114.20
Sites, in units of the cell vectors:
Ba 0.000 0.500 0.500
Ni 0.500 0.500 0.000
Sr 0.000 0.000 0.000
Sr 0.500 0.000 0.500

***

First-principles (GGA-PBE) data for a geometry-optimized BaSr2Ni structure, as listed in the Alexandria database.

Calculated values
* crystal system: orthorhombic

a b c (Å): 7.415 7.415 7.415
angles (deg): 148.85 129.78 60.29
Sites, in units of the cell vectors:
Sr 0.750 0.250 0.500
Ba 0.423 0.423 0.000
Sr 0.078 0.078 0.000
Ni 0.249 0.749 0.500

***

First-principles (GGA-PBE) data for a geometry-optimized BaSr3Ni structure, as listed in the Alexandria database.

Calculated values
* crystal system: cubic

a b c (Å): 6.158 6.158 6.158
angles (deg): 90.00 90.00 90.00
Sites, in units of the cell vectors:
Sr 0.500 0.000 0.000
Sr 0.000 0.500 0.000
Ba 0.000 0.000 0.000
Sr 0.000 0.000 0.500
Ni 0.500 0.500 0.500

***

First-principles (GGA-PBE) data for a geometry-optimized BaSr2Ni structure, as listed in the Alexandria database.

Calculated values
* crystal system: tetragonal

a b c (Å): 3.866 3.866 10.546
angles (deg): 90.00 90.00 90.00
Sites, in units of the cell vectors:
Sr 0.000 0.000 0.585
Ni 0.500 0.500 0.750
Sr 0.000 0.000 0.915
Ba 0.500 0.500 0.250

***

First-principles (GGA-PBE) data for a geometry-optimized Ba3SrNi2 structure, as listed in the Alexandria database.

Calculated values
* crystal system: monoclinic

a b c (Å): 4.309 10.198 12.036
angles (deg): 81.41 79.69 77.81
Sites, in units of the cell vectors:
Ni 0.243 0.541 0.974
Ba 0.165 0.938 0.732
Ba 0.407 0.240 0.946
Ni 0.243 0.042 0.473
Ba 0.835 0.062 0.268
Ni 0.757 0.958 0.527
Ba 0.407 0.734 0.452
Ba 0.593 0.266 0.548
Sr 0.835 0.555 0.774
Ba 0.593 0.760 0.054
Sr 0.165 0.445 0.226
Ni 0.757 0.459 0.026

***

First-principles (GGA-PBE) data for a geometry-optimized BaSr2TlNi structure, as listed in the Alexandria database.

Calculated values
* crystal system: tetragonal

a b c (Å): 5.801 5.801 5.911
angles (deg): 90.00 90.00 90.00
Sites, in units of the cell vectors:
Ba 0.000 0.000 0.500
Tl 0.500 0.500 0.500
Sr 0.500 0.000 0.000
Sr 0.000 0.500 0.000
Ni 0.000 0.000 0.000

***

First-principles (GGA-PBE) data for a geometry-optimized BaSr2TlNi structure, as listed in the Alexandria database.

Calculated values
* crystal system: tetragonal

a b c (Å): 5.842 5.842 5.299
angles (deg): 90.00 90.00 90.00
Sites, in units of the cell vectors:
Sr 0.500 0.000 0.000
Tl 0.000 0.000 0.500
Ni 0.000 0.000 0.000
Ba 0.500 0.500 0.500
Sr 0.000 0.500 0.000

***

First-principles (GGA-PBE) data for a geometry-optimized BaSr2YNi structure, as listed in the Alexandria database.

Calculated values
* crystal system: tetragonal

a b c (Å): 6.098 6.098 5.411
angles (deg): 90.00 90.00 90.00
Sites, in units of the cell vectors:
Sr 0.500 0.000 0.000
Y 0.000 0.000 0.500
Sr 0.000 0.500 0.000
Ba 0.500 0.500 0.500
Ni 0.000 0.000 0.000

***

First-principles (GGA-PBE) data for a geometry-optimized BaSr2ZnNi structure, as listed in the Alexandria database.

Calculated values
* crystal system: tetragonal

a b c (Å): 5.845 5.845 5.018
angles (deg): 90.00 90.00 90.00
Sites, in units of the cell vectors:
Sr 0.500 0.000 0.000
Ni 0.000 0.000 0.000
Zn 0.000 0.000 0.500
Sr 0.000 0.500 0.000
Ba 0.500 0.500 0.500

***

no.,total DFT energy (no corrections) (eV per atom),N(E_F) (states/eV/cell)
1,-2.66,3.849
2,-3.78,2.605
3,-2.35,3.919
4,-3.55,2.618
5,-2.40,3.933
6,-3.13,7.044
7,-2.26,4.276
8,-2.64,3.340
9,-1.12,12.864
10,-2.66,2.626
11,-3.18,13.430
12,-2.75,4.227
13,-2.75,4.268
14,-3.49,5.322
15,-2.41,4.124